<one>
PBE+U Li3V2F9, optimized geometry; total magnetic moment = 4.0 Bohr magnetons per cell
1.0
2.642 5.013 0.040
-2.642 5.013 0.040
0.000 0.852 7.401
Li V F
3 2 9
Direct
0.452 0.827 0.536 Li
0.032 0.968 0.000 Li
0.173 0.548 0.464 Li
0.665 0.615 0.155 V
0.385 0.335 0.845 V
0.474 0.013 0.039 F
0.350 0.723 0.333 F
0.833 0.662 0.359 F
0.849 0.213 0.190 F
0.987 0.526 0.961 F
0.277 0.650 0.667 F
0.395 0.605 0.000 F
0.338 0.167 0.641 F
0.787 0.151 0.810 F



<two>
PBE+U Li3V2F9, optimized geometry; total magnetic moment = 8.0 Bohr magnetons per cell
1.0
2.557 -4.428 0.000
2.557 4.428 0.000
0.000 0.000 14.264
Li V F
6 4 18
Direct
0.333 0.667 0.186 Li
0.333 0.667 0.485 Li
0.333 0.667 0.985 Li
0.333 0.667 0.686 Li
0.667 0.333 0.998 Li
0.667 0.333 0.498 Li
0.000 0.000 0.351 V
0.000 0.000 0.145 V
0.000 0.000 0.645 V
0.000 0.000 0.851 V
0.018 0.670 0.583 F
0.330 0.982 0.083 F
0.018 0.347 0.083 F
0.330 0.347 0.583 F
0.272 0.294 0.246 F
0.653 0.982 0.583 F
0.324 0.318 0.922 F
0.653 0.670 0.083 F
0.272 0.978 0.746 F
0.324 0.006 0.422 F
0.706 0.728 0.746 F
0.682 0.676 0.422 F
0.994 0.676 0.922 F
0.022 0.728 0.246 F
0.682 0.006 0.922 F
0.706 0.978 0.246 F
0.994 0.318 0.422 F
0.022 0.294 0.746 F



The relative energies come out as <one> 25; <two> 0, with values in meV/atom.



<one>
PBE+U Li4VF8, optimized geometry; total magnetic moment = 1.0 Bohr magnetons per cell
1.0
-0.181 5.133 3.184
-5.119 -0.509 0.529
-1.271 -2.754 4.367
Li V F
4 1 8
Direct
0.827 0.000 0.500 Li
0.007 0.500 0.500 Li
0.763 0.500 0.000 Li
0.213 0.500 0.000 Li
0.495 0.500 0.500 V
0.506 0.694 0.741 F
0.982 0.694 0.741 F
0.719 0.741 0.292 F
0.277 0.719 0.274 F
0.277 0.281 0.726 F
0.719 0.259 0.708 F
0.982 0.306 0.259 F
0.506 0.306 0.259 F



<two>
PBE+U Li4VF8, optimized geometry; total magnetic moment = 4.0 Bohr magnetons per cell
1.0
5.657 0.000 0.000
0.000 9.438 0.000
0.000 0.000 9.469
Li V F
16 4 32
Direct
0.871 0.420 0.108 Li
0.871 0.080 0.108 Li
0.382 0.437 0.131 Li
0.382 0.063 0.131 Li
0.882 0.937 0.369 Li
0.882 0.563 0.369 Li
0.371 0.920 0.392 Li
0.371 0.580 0.392 Li
0.629 0.420 0.608 Li
0.629 0.080 0.608 Li
0.118 0.437 0.631 Li
0.118 0.063 0.631 Li
0.618 0.937 0.869 Li
0.618 0.563 0.869 Li
0.129 0.920 0.892 Li
0.129 0.580 0.892 Li
0.627 0.750 0.133 V
0.127 0.250 0.367 V
0.873 0.750 0.633 V
0.373 0.250 0.867 V
0.843 0.880 0.022 F
0.843 0.620 0.022 F
0.407 0.875 0.025 F
0.407 0.625 0.025 F
0.879 0.250 0.227 F
0.380 0.250 0.234 F
0.626 0.961 0.235 F
0.626 0.539 0.235 F
0.126 0.461 0.265 F
0.126 0.039 0.265 F
0.880 0.750 0.266 F
0.379 0.750 0.273 F
0.907 0.375 0.475 F
0.907 0.125 0.475 F
0.343 0.380 0.478 F
0.343 0.120 0.478 F
0.657 0.880 0.522 F
0.657 0.620 0.522 F
0.093 0.875 0.525 F
0.093 0.625 0.525 F
0.621 0.250 0.727 F
0.120 0.250 0.734 F
0.874 0.961 0.735 F
0.874 0.539 0.735 F
0.374 0.461 0.765 F
0.374 0.039 0.765 F
0.620 0.750 0.766 F
0.121 0.750 0.773 F
0.593 0.375 0.975 F
0.593 0.125 0.975 F
0.157 0.380 0.978 F
0.157 0.120 0.978 F



The relative energies come out as <one> 0; <two> 28, with values in meV/atom.



<one>
PBE+U LiV2F5, optimized geometry; total magnetic moment = 12.0 Bohr magnetons per cell
1.0
2.088 -5.110 0.000
2.088 5.110 0.000
0.000 0.000 10.403
Li V F
2 4 10
Direct
0.822 0.178 0.750 Li
0.178 0.822 0.250 Li
0.856 0.144 0.064 V
0.856 0.144 0.436 V
0.144 0.856 0.564 V
0.144 0.856 0.936 V
0.678 0.322 0.555 F
0.678 0.322 0.945 F
0.946 0.054 0.617 F
0.946 0.054 0.883 F
0.766 0.234 0.250 F
0.234 0.766 0.750 F
0.054 0.946 0.383 F
0.054 0.946 0.117 F
0.322 0.678 0.445 F
0.322 0.678 0.055 F



<two>
PBE+U LiV2F5, optimized geometry; total magnetic moment = 12.0 Bohr magnetons per cell
1.0
-5.441 -2.453 0.550
-1.317 -5.629 1.583
-2.136 -0.356 7.436
Li V F
2 4 10
Direct
0.000 0.000 0.000 Li
0.000 0.000 0.500 Li
0.371 0.382 0.714 V
0.382 0.371 0.214 V
0.618 0.629 0.786 V
0.629 0.618 0.286 V
0.208 0.792 0.250 F
0.258 0.578 0.944 F
0.038 0.331 0.350 F
0.331 0.038 0.850 F
0.578 0.258 0.444 F
0.792 0.208 0.750 F
0.422 0.742 0.556 F
0.669 0.962 0.150 F
0.962 0.669 0.650 F
0.742 0.422 0.056 F



The relative energies come out as <one> 0; <two> 12, with values in meV/atom.



<one>
PBE+U LiV3F10, optimized geometry; total magnetic moment = 12.0 Bohr magnetons per cell
1.0
6.104 0.000 0.000
0.000 3.975 -0.035
0.000 0.064 14.995
Li V F
2 6 20
Direct
0.500 0.021 0.390 Li
0.500 0.021 0.890 Li
0.050 0.012 0.002 V
0.050 0.029 0.278 V
0.508 0.021 0.140 V
0.950 0.012 0.502 V
0.950 0.029 0.778 V
0.492 0.021 0.640 V
0.768 0.937 0.061 F
0.767 0.104 0.219 F
0.816 0.948 0.377 F
0.232 0.937 0.561 F
0.183 0.093 0.404 F
0.388 0.997 0.268 F
0.233 0.104 0.719 F
0.184 0.948 0.877 F
0.817 0.093 0.904 F
0.612 0.997 0.768 F
0.388 0.045 0.012 F
0.612 0.045 0.512 F
0.486 0.521 0.140 F
0.066 0.531 0.275 F
0.934 0.510 0.505 F
0.514 0.521 0.640 F
0.934 0.531 0.775 F
0.066 0.510 0.005 F
0.152 0.021 0.140 F
0.848 0.021 0.640 F



<two>
PBE+U LiV3F10, optimized geometry; total magnetic moment = 12.0 Bohr magnetons per cell
1.0
6.470 0.000 0.000
0.000 7.430 0.000
0.000 0.000 7.680
Li V F
2 6 20
Direct
0.344 0.000 0.250 Li
0.656 0.000 0.750 Li
0.500 0.500 0.500 V
0.500 0.500 0.000 V
0.000 0.233 0.500 V
0.000 0.233 0.000 V
0.000 0.767 0.500 V
0.000 0.767 0.000 V
0.422 0.500 0.750 F
0.578 0.500 0.250 F
0.000 0.500 0.000 F
0.303 0.301 0.052 F
0.697 0.301 0.948 F
0.303 0.301 0.448 F
0.697 0.301 0.552 F
0.917 0.228 0.250 F
0.083 0.228 0.750 F
0.162 0.000 0.437 F
0.838 0.000 0.563 F
0.162 0.000 0.063 F
0.838 0.000 0.937 F
0.083 0.772 0.750 F
0.917 0.772 0.250 F
0.303 0.699 0.052 F
0.697 0.699 0.948 F
0.303 0.699 0.448 F
0.697 0.699 0.552 F
0.000 0.500 0.500 F



The relative energies come out as <one> 0; <two> 11, with values in meV/atom.



<one>
PBE+U Li3V2F12, optimized geometry; total magnetic moment = 2.0 Bohr magnetons per cell
1.0
-4.076 3.908 6.888
-4.257 -2.378 -1.170
2.154 -7.565 5.566
Li V F
6 4 24
Direct
0.394 0.989 0.895 Li
0.838 0.517 0.618 Li
0.312 0.010 0.605 Li
0.606 0.989 0.395 Li
0.162 0.517 0.118 Li
0.688 0.010 0.105 Li
0.002 0.003 0.866 V
0.500 0.494 0.635 V
0.998 0.003 0.366 V
0.500 0.494 0.135 V
0.139 0.180 0.970 F
0.020 0.713 0.986 F
0.851 0.125 0.972 F
0.159 0.882 0.765 F
0.984 0.291 0.746 F
0.873 0.820 0.762 F
0.481 0.785 0.750 F
0.361 0.286 0.744 F
0.663 0.346 0.723 F
0.351 0.663 0.530 F
0.488 0.202 0.513 F
0.652 0.682 0.525 F
0.861 0.180 0.470 F
0.980 0.713 0.486 F
0.149 0.125 0.472 F
0.841 0.882 0.265 F
0.016 0.291 0.246 F
0.127 0.820 0.262 F
0.519 0.785 0.250 F
0.639 0.286 0.244 F
0.337 0.346 0.223 F
0.649 0.663 0.030 F
0.512 0.202 0.013 F
0.348 0.682 0.025 F



<two>
PBE+U Li3V2F12, optimized geometry; total magnetic moment = 2.0 Bohr magnetons per cell
1.0
10.170 0.000 0.000
0.000 5.243 0.417
0.000 2.754 9.178
Li V F
6 4 24
Direct
0.000 0.000 0.000 Li
0.500 0.000 0.500 Li
0.325 0.268 0.171 Li
0.175 0.268 0.671 Li
0.825 0.732 0.329 Li
0.675 0.732 0.829 Li
0.646 0.230 0.209 V
0.854 0.230 0.709 V
0.146 0.770 0.291 V
0.354 0.770 0.791 V
0.050 0.965 0.371 F
0.802 0.104 0.161 F
0.656 0.926 0.392 F
0.450 0.965 0.871 F
0.698 0.104 0.661 F
0.637 0.532 0.037 F
0.844 0.926 0.892 F
0.486 0.303 0.291 F
0.230 0.563 0.200 F
0.863 0.532 0.537 F
0.730 0.437 0.300 F
0.014 0.303 0.791 F
0.986 0.697 0.209 F
0.270 0.563 0.700 F
0.137 0.468 0.463 F
0.770 0.437 0.800 F
0.514 0.697 0.709 F
0.156 0.074 0.108 F
0.363 0.468 0.963 F
0.302 0.896 0.339 F
0.550 0.035 0.129 F
0.344 0.074 0.608 F
0.198 0.896 0.839 F
0.950 0.035 0.629 F



The relative energies come out as <one> 0; <two> 35, with values in meV/atom.



<one>
PBE+U Li2V2F7, optimized geometry; total magnetic moment = 10.0 Bohr magnetons per cell
1.0
5.505 0.077 0.041
0.676 6.792 -0.015
2.208 2.648 7.971
Li V F
4 4 14
Direct
0.344 0.764 0.904 Li
0.874 0.972 0.756 Li
0.126 0.028 0.244 Li
0.656 0.236 0.096 Li
0.293 0.280 0.814 V
0.814 0.517 0.672 V
0.186 0.483 0.328 V
0.707 0.720 0.186 V
0.641 0.816 0.950 F
0.903 0.386 0.887 F
0.452 0.573 0.774 F
0.914 0.787 0.628 F
0.684 0.241 0.704 F
0.170 0.005 0.814 F
0.185 0.424 0.573 F
0.815 0.576 0.427 F
0.830 0.995 0.186 F
0.316 0.759 0.296 F
0.086 0.213 0.372 F
0.548 0.427 0.226 F
0.097 0.614 0.113 F
0.359 0.184 0.050 F



<two>
PBE+U Li2V2F7, optimized geometry; total magnetic moment = 20.0 Bohr magnetons per cell
1.0
7.206 0.000 0.000
0.000 7.744 0.010
0.000 0.010 10.366
Li V F
8 8 28
Direct
0.143 0.334 0.862 Li
0.142 0.166 0.638 Li
0.642 0.834 0.862 Li
0.643 0.666 0.638 Li
0.357 0.334 0.362 Li
0.358 0.166 0.138 Li
0.858 0.834 0.362 Li
0.857 0.666 0.138 Li
0.633 0.385 0.913 V
0.633 0.115 0.587 V
0.133 0.885 0.913 V
0.133 0.615 0.587 V
0.867 0.385 0.413 V
0.867 0.115 0.087 V
0.367 0.885 0.413 V
0.367 0.615 0.087 V
0.174 0.098 0.811 F
0.908 0.316 0.955 F
0.353 0.447 0.933 F
0.609 0.250 0.750 F
0.408 0.816 0.955 F
0.353 0.053 0.567 F
0.174 0.401 0.689 F
0.674 0.599 0.811 F
0.853 0.947 0.933 F
0.908 0.184 0.545 F
0.109 0.750 0.750 F
0.853 0.553 0.567 F
0.326 0.098 0.311 F
0.592 0.316 0.455 F
0.408 0.684 0.545 F
0.674 0.902 0.689 F
0.147 0.447 0.433 F
0.891 0.250 0.250 F
0.092 0.816 0.455 F
0.147 0.053 0.067 F
0.326 0.401 0.189 F
0.826 0.599 0.311 F
0.647 0.947 0.433 F
0.592 0.184 0.045 F
0.391 0.750 0.250 F
0.647 0.553 0.067 F
0.092 0.684 0.045 F
0.826 0.902 0.189 F



The relative energies come out as <one> 8; <two> 0, with values in meV/atom.